Y2HfNi2: relaxed, GGA-PBE.

Results
Calculated density in g/cm³: 7.37
Formation energy from the elements in kcal/mol of atoms: 6.2
Symmetry: I4/mmm
Offset from the most stable computed form in eV/atom: 0.1393

Cell lengths 7.828, 7.828, 7.828 Å; angles 151.83, 151.83, 40.26 degrees
Positions (direct):
Hf  0.000  0.000  0.000
Ni  0.750  0.250  0.500
Ni  0.250  0.750  0.500
Y  0.377  0.377  0.000
Y  0.623  0.623  0.000

Nb3TlP5: relaxed, GGA-PBE.

Results
Calculated density in g/cm³: 6.19
E in hartree per atom: -0.2528
Symmetry: P6/mmm

Cell lengths 5.768, 5.768, 5.945 Å; angles 90.00, 90.00, 120.00 degrees
Positions (direct):
Nb  0.500  0.000  0.500
Nb  0.000  0.500  0.500
Nb  0.500  0.500  0.500
P  0.667  0.333  0.180
P  0.333  0.667  0.180
P  0.000  0.000  0.500
P  0.667  0.333  0.820
P  0.333  0.667  0.820
Tl  0.000  0.000  0.000

Dy4CI2Cl3: relaxed, GGA-PBE.

Results
Calculated density in g/cm³: 6.30
Symmetry: C2/m
Offset from the most stable computed form in eV/atom: 0.0000

Cell lengths 9.326, 9.326, 7.881 Å; angles 100.34, 100.34, 23.57 degrees
Positions (direct):
C  0.500  0.500  0.000
Cl  0.149  0.149  0.322
Cl  0.500  0.500  0.500
Cl  0.851  0.851  0.678
Dy  0.633  0.633  0.071
Dy  0.998  0.998  0.208
Dy  0.002  0.002  0.792
Dy  0.367  0.367  0.929
I  0.826  0.826  0.202
I  0.174  0.174  0.798

Gd: relaxed, GGA-PBE.

Results
Calculated density in g/cm³: 7.96
Formation energy from the elements in kcal/mol of atoms: 4.1
Symmetry: P4_132
Offset from the most stable computed form in eV/atom: 0.1771

Cell lengths 8.691, 8.691, 8.691 Å; angles 90.00, 90.00, 90.00 degrees
Positions (direct):
Gd  0.875  0.706  0.044
Gd  0.061  0.061  0.061
Gd  0.206  0.456  0.125
Gd  0.811  0.311  0.189
Gd  0.456  0.125  0.206
Gd  0.544  0.625  0.294
Gd  0.189  0.811  0.311
Gd  0.794  0.956  0.375
Gd  0.939  0.561  0.439
Gd  0.125  0.206  0.456
Gd  0.625  0.294  0.544
Gd  0.439  0.939  0.561
Gd  0.294  0.544  0.625
Gd  0.689  0.689  0.689
Gd  0.044  0.875  0.706
Gd  0.956  0.375  0.794
Gd  0.311  0.189  0.811
Gd  0.706  0.044  0.875
Gd  0.561  0.439  0.939
Gd  0.375  0.794  0.956